YBe2Se | PBE | relaxed

As for the formation energy from raw total energies: 0.03 eV per atom. The density of states at the Fermi level comes out at 1.98 states/eV/cell. For the density, the calculation gives 4.7 Mg/m³. As for the total energy: -4.318 eV per atom.

The space group is P4/mmm (No. 123) and the conventional cell measures 3.282, 3.282 and 6.129 Å, with angles of 90.00, 90.00 and 90.00 degrees. The inequivalent atoms are Y at (0.000, 0.000, 0.000), Be at (0.500, 0.500, 0.322) and Se at (0.000, 0.000, 0.500).